--- P ---
Below is a geometry-optimized ZrTl2N structure, with properties calculated at the GGA-PBE level.

The structure in CIF format:
```
data_ZrTl2N
_chemical_formula_sum 'Zr4 Tl8 N4'
_symmetry_space_group_name_H-M 'F m -3 m'
_symmetry_Int_Tables_number 225
_symmetry_space_group_name_Hall '-F 4 2 3'
_cell_length_a 6.925
_cell_length_b 6.925
_cell_length_c 6.925
_cell_angle_alpha 90.00
_cell_angle_beta 90.00
_cell_angle_gamma 90.00
loop_
_atom_site_label
_atom_site_fract_x
_atom_site_fract_y
_atom_site_fract_z
_atom_site_occupancy
Zr1 0.000 0.000 0.000 1
Tl1 0.250 0.250 0.250 1
N1 0.000 0.000 0.500 1
```


--- Q ---
Below is a geometry-optimized ZrTl2N structure, with properties calculated at the GGA-PBE level.

The structure in CIF format:
```
data_ZrTl2N
_chemical_formula_sum 'Zr4 Tl8 N4'
_symmetry_space_group_name_H-M 'I -4 2 d'
_symmetry_Int_Tables_number 122
_symmetry_space_group_name_Hall 'I -4 2bw'
_cell_length_a 10.025
_cell_length_b 10.025
_cell_length_c 4.159
_cell_angle_alpha 90.00
_cell_angle_beta 90.00
_cell_angle_gamma 90.00
loop_
_atom_site_label
_atom_site_fract_x
_atom_site_fract_y
_atom_site_fract_z
_atom_site_occupancy
Zr1 0.000 0.000 0.000 1
Tl1 0.117 0.250 0.625 1
N1 0.000 0.000 0.500 1
```


Of them, Q has the highest stability.


--- P ---
Below is a geometry-optimized ZrTl2N2 structure, with properties calculated at the GGA-PBE level.

The structure in CIF format:
```
data_ZrTl2N2
_chemical_formula_sum 'Zr2 Tl4 N4'
_symmetry_space_group_name_H-M 'P 4/m b m'
_symmetry_Int_Tables_number 127
_symmetry_space_group_name_Hall '-P 4 2ab'
_cell_length_a 6.311
_cell_length_b 6.311
_cell_length_c 4.651
_cell_angle_alpha 90.00
_cell_angle_beta 90.00
_cell_angle_gamma 90.00
loop_
_atom_site_label
_atom_site_fract_x
_atom_site_fract_y
_atom_site_fract_z
_atom_site_occupancy
Zr1 0.000 0.000 0.000 1
Tl1 0.164 0.336 0.500 1
N1 0.245 0.745 0.000 1
```


--- Q ---
Below is a geometry-optimized ZrTl2N2 structure, with properties calculated at the GGA-PBE level.

The structure in CIF format:
```
data_ZrTl2N2
_chemical_formula_sum 'Zr2 Tl4 N4'
_symmetry_space_group_name_H-M 'I 4/m m m'
_symmetry_Int_Tables_number 139
_symmetry_space_group_name_Hall '-I 4 2'
_cell_length_a 4.530
_cell_length_b 4.530
_cell_length_c 10.038
_cell_angle_alpha 90.00
_cell_angle_beta 90.00
_cell_angle_gamma 90.00
loop_
_atom_site_label
_atom_site_fract_x
_atom_site_fract_y
_atom_site_fract_z
_atom_site_occupancy
Zr1 0.000 0.000 0.000 1
Tl1 0.000 0.500 0.250 1
N1 0.000 0.000 0.442 1
```


Of them, P has the highest stability.


--- P ---
Below is a geometry-optimized YTmN structure, with properties calculated at the GGA-PBE level.

The structure in CIF format:
```
data_YTmN
_chemical_formula_sum 'Y2 Tm2 N2'
_symmetry_space_group_name_H-M 'P -6 m 2'
_symmetry_Int_Tables_number 187
_symmetry_space_group_name_Hall 'P -6 2'
_cell_length_a 3.4692
_cell_length_b 3.4692
_cell_length_c 11.6769
_cell_angle_alpha 90.00
_cell_angle_beta 90.00
_cell_angle_gamma 120.00
loop_
_atom_site_label
_atom_site_fract_x
_atom_site_fract_y
_atom_site_fract_z
_atom_site_occupancy
Y1 0.0000 0.0000 0.0000 1
Y2 0.3333 0.6667 0.5000 1
Tm1 0.6667 0.3333 0.2319 1
N1 0.3333 0.6667 0.1341 1
```


--- Q ---
Below is a geometry-optimized YTmN structure, with properties calculated at the GGA-PBE level.

The structure in CIF format:
```
data_YTmN
_chemical_formula_sum 'Y1 Tm1 N1'
_symmetry_space_group_name_H-M 'P 3 m 1'
_symmetry_Int_Tables_number 156
_symmetry_space_group_name_Hall 'P 3 -2"'
_cell_length_a 3.4733
_cell_length_b 3.4733
_cell_length_c 5.9039
_cell_angle_alpha 90.00
_cell_angle_beta 90.00
_cell_angle_gamma 120.00
loop_
_atom_site_label
_atom_site_fract_x
_atom_site_fract_y
_atom_site_fract_z
_atom_site_occupancy
Y1 0.0000 0.0000 0.0000 1
Tm1 0.6667 0.3333 0.5487 1
N1 0.3333 0.6667 0.7612 1
```


--- R ---
Below is a geometry-optimized YTmN structure, with properties calculated at the GGA-PBE level.

The structure in CIF format:
```
data_YTmN
_chemical_formula_sum 'Y2 Tm2 N2'
_symmetry_space_group_name_H-M 'P 1 21/m 1'
_symmetry_Int_Tables_number 11
_symmetry_space_group_name_Hall '-P 2yb'
_cell_length_a 6.037
_cell_length_b 3.476
_cell_length_c 6.167
_cell_angle_alpha 90.00
_cell_angle_beta 109.28
_cell_angle_gamma 90.00
loop_
_atom_site_label
_atom_site_fract_x
_atom_site_fract_y
_atom_site_fract_z
_atom_site_occupancy
Y1 0.005 0.250 0.269 1
Tm1 0.492 0.250 0.726 1
N1 0.262 0.750 0.504 1
```


Of them, P has the highest stability.


--- P ---
Below is a geometry-optimized Tm4ZrN4 structure, with properties calculated at the GGA-PBE level.

The structure in CIF format:
```
data_Tm4ZrN4
_chemical_formula_sum 'Tm8 Zr2 N8'
_symmetry_space_group_name_H-M 'I 4/m'
_symmetry_Int_Tables_number 87
_symmetry_space_group_name_Hall '-I 4'
_cell_length_a 7.535
_cell_length_b 7.535
_cell_length_c 4.817
_cell_angle_alpha 90.00
_cell_angle_beta 90.00
_cell_angle_gamma 90.00
loop_
_atom_site_label
_atom_site_fract_x
_atom_site_fract_y
_atom_site_fract_z
_atom_site_occupancy
Tm1 0.108 0.691 0.000 1
Zr1 0.000 0.000 0.500 1
N1 0.095 0.708 0.500 1
```


--- Q ---
Below is a geometry-optimized Tm4ZrN4 structure, with properties calculated at the GGA-PBE level.

The structure in CIF format:
```
data_Tm4ZrN4
_chemical_formula_sum 'Tm8 Zr2 N8'
_symmetry_space_group_name_H-M 'I -4 2 m'
_symmetry_Int_Tables_number 121
_symmetry_space_group_name_Hall 'I -4 2'
_cell_length_a 5.625
_cell_length_b 5.625
_cell_length_c 10.298
_cell_angle_alpha 90.00
_cell_angle_beta 90.00
_cell_angle_gamma 90.00
loop_
_atom_site_label
_atom_site_fract_x
_atom_site_fract_y
_atom_site_fract_z
_atom_site_occupancy
Tm1 0.000 0.000 0.210 1
Tm2 0.000 0.500 0.000 1
Zr1 0.000 0.000 0.500 1
N1 0.227 0.227 0.618 1
```


Of them, P has the highest stability.